! Tm6Mn2Zn PBE optimized geometry; values from VASP
&SYSTEM
  ibrav = 0, nat = 18, ntyp = 3
/
ATOMIC_SPECIES
Tm 168.93 Tm.upf
Mn 54.94 Mn.upf
Zn 65.41 Zn.upf
ATOMIC_POSITIONS angstrom
Tm 1.085 -5.159 -2.959
Tm -1.964 -1.235 -2.115
Tm 2.613 -5.376 0.902
Tm -3.493 -1.017 -5.975
Tm -1.420 -3.494 -4.696
Tm 0.541 -2.900 -0.377
Tm 4.318 -6.045 -2.050
Tm -5.197 -0.349 -3.024
Tm -2.097 -4.681 -1.531
Tm 1.218 -1.712 -3.543
Tm 3.841 -3.897 -4.704
Tm -4.721 -2.497 -0.369
Mn 0.095 -6.012 -0.376
Mn -0.975 -0.381 -4.697
Mn -3.327 -4.560 1.060
Mn -2.059 -2.822 0.656
Zn 3.541 -2.948 -1.568
Zn 0.000 0.000 0.000
CELL_PARAMETERS angstrom
-7.962 -0.497 -1.938
4.506 0.988 -6.790
2.576 -6.885 3.654
! ΔH_f (0 K), eV/atom: -0.038
! Magnetization, μB/f.u.: 1.909
! V, Å³ per cell: 425.4
! Space-group type: Immm (71)
! N(E_F), states/eV per cell: 19.65